# 1
KCu2H20N3Cl8O4 | PBE | relaxed

The structure in extended XYZ format:
```
38
Lattice="7.7140 0.0000 0.0000 0.0000 7.7140 0.0000 0.0000 0.0000 7.9921" Properties=species:S:1:pos:R:3 pbc="T T T"
K 0.0000 0.0000 0.0000
Cu 0.0000 3.8570 6.0619
Cu 3.8570 0.0000 1.9302
H 0.5682 0.6316 3.4015
H 0.5823 3.2972 0.6129
H 0.5814 3.2978 3.5171
H 0.6316 7.1458 4.5906
H 3.1966 3.3208 3.3987
H 3.2066 3.3119 0.5968
H 3.2972 7.1317 7.3793
H 3.2978 7.1326 4.4750
H 3.3119 4.5074 7.3953
H 3.3208 4.5175 4.5935
H 4.3932 3.1966 4.5935
H 4.4021 3.2066 7.3953
H 4.4162 0.5814 4.4750
H 4.4168 0.5823 7.3793
H 4.5074 4.4021 0.5968
H 4.5175 4.3932 3.3987
H 7.0824 0.5682 4.5906
H 7.1326 4.4162 3.5171
H 7.1317 4.4168 0.6129
H 7.1458 7.0824 3.4015
N 0.0000 0.0000 3.9961
N 3.8570 3.8570 0.0000
N 3.8570 3.8570 3.9961
Cl 1.5292 2.1798 6.0786
Cl 1.7003 2.2407 2.0561
Cl 2.1798 6.1848 1.9135
Cl 2.2407 6.0137 5.9361
Cl 5.4733 1.7003 5.9361
Cl 5.5342 1.5292 1.9135
Cl 6.0137 5.4733 2.0561
Cl 6.1848 5.5342 6.0786
O 0.0000 3.8570 0.0359
O 0.0000 3.8570 4.0939
O 3.8570 0.0000 3.8983
O 3.8570 0.0000 7.9562
```

Summary:
- DFT total energy: -166.5 eV per cell
- Spin magnetization: 2.00 μB/f.u.

# 2
Li4Cd7Sn | PBE | relaxed

The structure in extended XYZ format:
```
12
Lattice="4.8066 0.0000 0.0000 -2.4033 4.1626 0.0000 0.0000 0.0000 12.1796" Properties=species:S:1:pos:R:3 pbc="T T T"
Li 0.0000 2.7751 0.9908
Li 0.0000 2.7751 4.1668
Li 2.4033 1.3875 8.0128
Li 2.4033 1.3875 11.1888
Cd 0.0000 0.0000 3.1107
Cd 0.0000 0.0000 6.0898
Cd 0.0000 0.0000 9.0689
Cd 0.0000 2.7751 7.1836
Cd 0.0000 2.7751 10.1766
Cd 2.4033 1.3875 2.0030
Cd 2.4033 1.3875 4.9960
Sn 0.0000 0.0000 0.0000
```

Summary:
- Formation energy from the elements: -0.194 eV per atom
- Spin magnetization: 0.00 μB/f.u.

# 3
In2HgCl | PBE | relaxed

The structure in extended XYZ format:
```
16
Lattice="7.6398 0.0000 0.0000 0.0000 7.6398 0.0000 0.0000 0.0000 7.6398" Properties=species:S:1:pos:R:3 pbc="T T T"
In 0.0000 0.0000 0.0000
In 0.0000 3.8199 3.8199
In 1.9100 1.9100 1.9100
In 1.9100 5.7299 5.7299
In 3.8199 0.0000 3.8199
In 3.8199 3.8199 0.0000
In 5.7299 1.9100 5.7299
In 5.7299 5.7299 1.9100
Hg 1.9100 1.9100 5.7299
Hg 1.9100 5.7299 1.9100
Hg 5.7299 1.9100 1.9100
Hg 5.7299 5.7299 5.7299
Cl 0.0000 0.0000 3.8199
Cl 0.0000 3.8199 0.0000
Cl 3.8199 0.0000 0.0000
Cl 3.8199 3.8199 3.8199
```

Summary:
- Formation energy (no corrections): -63 kJ/mol of formula units
- Spin magnetization: 0.00 μB/f.u.

# 4
Ca2TlPd5Au2 | PBE | relaxed

The structure in extended XYZ format:
```
20
Lattice="9.7284 0.0000 0.0000 0.0000 9.7284 0.0000 0.0000 0.0000 4.1597" Properties=species:S:1:pos:R:3 pbc="T T T"
Ca 1.6544 3.2098 0.0000
Ca 3.2098 8.0740 0.0000
Ca 6.5185 1.6544 0.0000
Ca 8.0740 6.5185 0.0000
Tl 0.0000 0.0000 0.0000
Tl 4.8642 4.8642 0.0000
Pd 0.0000 4.8642 2.0798
Pd 0.6357 7.7830 2.0798
Pd 1.9453 0.6357 2.0798
Pd 2.9188 5.4999 2.0798
Pd 4.2285 2.9188 2.0798
Pd 4.8642 0.0000 2.0798
Pd 5.4999 6.8095 2.0798
Pd 6.8095 4.2285 2.0798
Pd 7.7830 9.0926 2.0798
Pd 9.0926 1.9453 2.0798
Au 1.2380 6.1022 0.0000
Au 3.6261 1.2380 0.0000
Au 6.1022 8.4903 0.0000
Au 8.4903 3.6261 0.0000
```

Summary:
- Formation energy from the elements: -0.511 eV per atom
- Spin magnetization: 0.00 μB/f.u.

Q: What is the formula in the fourth record?
A: Ca2TlPd5Au2